Computed, not measured: a relaxed Cs2KPbBr5 crystal at the PBE level of DFT.

Electronic total energy in hartree per atom: -0.114
Raw formation energy in meV per atom: -1441
Crystal system: orthorhombic
Space group: Immm

Cell: 10.1267 10.1267 10.1267 Å, 146.54 131.87 59.89°
Sites, in units of the cell vectors:
Cs 0.2047 0.2047 0.0000
Cs 0.7953 0.7953 0.0000
K 0.5000 0.0000 0.5000
Pb 0.0000 0.5000 0.5000
Br 0.0000 0.0000 0.0000
Br 0.1315 0.3751 0.7563
Br 0.3812 0.6249 0.7563
Br 0.6188 0.3751 0.2437
Br 0.8685 0.6249 0.2437